# KCeMoN4, optimized geometry, DFT GGA-PBE
# Size of the total moment: 2.113 μB/cell
# D(E_F): 5.71 states/eV/cell
# Energy: -7.7808 eV/atom
data_KCeMoN4
_cell_length_a 6.222
_cell_length_b 5.997
_cell_length_c 7.725
_cell_angle_alpha 90.00
_cell_angle_beta 105.20
_cell_angle_gamma 90.00
_symmetry_space_group_name_H-M 'P 1 21/m 1'
_symmetry_Int_Tables_number 11
_symmetry_space_group_name_Hall '-P 2yb'
loop_
_atom_site_label
_atom_site_fract_x
_atom_site_fract_y
_atom_site_fract_z
K1 0.193 0.250 0.422
Ce1 0.299 0.250 0.946
Mo1 0.231 0.750 0.157
N1 0.021 0.750 0.293
N2 0.033 0.750 0.934
N3 0.431 0.512 0.166